Computed, not measured: a relaxed structure of TiMoN3 at the PBE level of DFT.

- energy relative to the elements, uncorrected (eV per atom) = -0.398

a = 3.866 Å, b = 3.866 Å, c = 4.783 Å
α = 90.00°, β = 90.00°, γ = 90.00°
Positions (direct):
Mo (0.000, 0.000, 0.213)
N (0.000, 0.500, 0.362)
N (0.500, 0.000, 0.362)
N (0.000, 0.000, 0.855)
Ti (0.500, 0.500, 0.470)



Computed, not measured: a relaxed structure of TiMoN3 at the PBE level of DFT.

- energy relative to the elements, uncorrected (eV per atom) = 0.284

a = 3.886 Å, b = 3.886 Å, c = 3.886 Å
α = 90.00°, β = 90.00°, γ = 90.00°
Positions (direct):
Mo (0.000, 0.000, 0.000)
N (0.000, 0.000, 0.500)
N (0.500, 0.000, 0.000)
N (0.000, 0.500, 0.000)
Ti (0.500, 0.500, 0.500)



Computed, not measured: a relaxed structure of Ti2MoN at the PBE level of DFT.

- energy relative to the elements, uncorrected (eV per atom) = -0.117

a = 3.032 Å, b = 3.032 Å, c = 5.573 Å
α = 90.00°, β = 90.00°, γ = 90.00°
Positions (direct):
Mo (0.500, 0.500, 0.500)
Ti (0.000, 0.000, 0.220)
Ti (0.000, 0.000, 0.780)
N (0.500, 0.500, 0.000)



Computed, not measured: a relaxed structure of TiMoN at the PBE level of DFT.

- energy relative to the elements, uncorrected (eV per atom) = -0.835

a = 4.681 Å, b = 3.026 Å, c = 3.026 Å
α = 120.00°, β = 90.00°, γ = 90.00°
Positions (direct):
N (0.993, 0.000, 0.000)
Mo (0.252, 0.333, 0.667)
Ti (0.755, 0.667, 0.333)